# 1
Na4Y3MoO8 | PBE+U | relaxed Values from VASP.

Cell and atoms, written as Quantum ESPRESSO input:
```
&SYSTEM
  ibrav = 0, nat = 16, ntyp = 4
/
ATOMIC_SPECIES
Na 22.99 Na.upf
Y 88.91 Y.upf
Mo 95.94 Mo.upf
O 16.00 O.upf
CELL_PARAMETERS angstrom
3.379 1.951 5.575
-3.379 1.951 5.575
0.000 -3.901 5.575
ATOMIC_POSITIONS angstrom
Na 0.000 0.000 0.000
Na -1.689 -0.975 5.575
Na -1.689 0.975 11.150
Na 0.000 1.951 5.575
Y -3.379 0.000 8.363
Y -1.689 0.975 2.788
Y 1.689 0.975 2.788
Mo 0.000 0.000 8.363
O 0.000 0.000 3.971
O -1.650 -0.953 9.547
O 0.000 -1.906 7.179
O -1.650 0.953 7.179
O 1.650 -0.953 9.547
O 0.000 1.906 9.547
O 1.650 0.953 7.179
O 0.000 0.000 12.755
```

Properties
Fermi-level density of states = 0.0 states/eV/f.u.
SG = No. 166
E = -6.960 eV per atom

# 2
NaYMoO4 | PBE+U | relaxed Values from VASP.

Cell and atoms, written as Quantum ESPRESSO input:
```
&SYSTEM
  ibrav = 0, nat = 14, ntyp = 4
/
ATOMIC_SPECIES
Na 22.99 Na.upf
Y 88.91 Y.upf
Mo 95.94 Mo.upf
O 16.00 O.upf
CELL_PARAMETERS angstrom
-3.275 3.455 4.619
3.275 -3.455 4.619
3.275 3.455 -4.619
ATOMIC_POSITIONS angstrom
Na 0.000 1.727 1.101
Na 3.275 1.727 3.519
Y 3.275 0.000 0.000
Y 0.000 0.000 4.619
Mo 1.637 1.727 -2.310
Mo 1.637 -1.727 2.310
O 3.275 -0.361 2.266
O 3.275 3.094 -2.266
O 1.816 1.727 -0.258
O 4.734 1.727 -0.258
O -1.459 1.727 4.877
O 1.459 1.727 4.877
O 0.000 0.361 6.885
O 0.000 3.816 2.353
```

Properties
SG = No. 74
E = -7.306 eV per atom

# 3
NaYMo2O8 | PBE+U | relaxed Values from VASP.

Cell and atoms, written as Quantum ESPRESSO input:
```
&SYSTEM
  ibrav = 0, nat = 12, ntyp = 4
/
ATOMIC_SPECIES
Na 22.99 Na.upf
Y 88.91 Y.upf
Mo 95.94 Mo.upf
O 16.00 O.upf
CELL_PARAMETERS angstrom
-2.631 2.631 5.731
2.631 -2.631 5.731
2.631 2.631 -5.731
ATOMIC_POSITIONS angstrom
Na 0.000 0.000 0.000
Y 0.000 2.631 2.865
Mo 2.631 0.000 2.865
Mo 0.000 0.000 5.731
O 3.925 -0.851 1.933
O 1.780 -1.294 3.798
O 1.877 1.342 -1.021
O 1.337 0.851 1.933
O 1.289 -0.754 6.751
O 3.482 1.294 3.798
O 0.754 1.289 4.710
O 1.342 3.385 1.021
```

Properties
Fermi-level density of states = 0.0 states/eV/f.u.
SG = No. 82
E = -7.270 eV per atom
Distance to the lowest polymorph of the same formula = 0.000 eV per formula unit

# 4
Na3Zn2Mo3O12 | PBE+U | relaxed Values from VASP.

Cell and atoms, written as Quantum ESPRESSO input:
```
&SYSTEM
  ibrav = 0, nat = 40, ntyp = 4
/
ATOMIC_SPECIES
Na 22.99 Na.upf
Zn 65.41 Zn.upf
Mo 95.94 Mo.upf
O 16.00 O.upf
CELL_PARAMETERS angstrom
6.164 -6.962 0.000
6.164 6.962 0.000
-3.049 0.000 6.654
ATOMIC_POSITIONS angstrom
Na 0.000 0.000 0.000
Na -1.524 0.000 3.327
Na 3.877 3.695 4.990
Na 5.402 0.488 1.663
Na 3.877 -0.488 4.990
Na 5.402 -3.695 1.663
Zn 0.885 2.154 5.767
Zn 2.410 -2.154 2.440
Zn 6.870 2.154 4.214
Zn 8.394 -2.154 0.887
Mo 2.204 1.500 2.501
Mo 5.402 3.878 1.663
Mo 0.680 -1.500 5.828
Mo 8.599 1.500 0.826
Mo 3.877 -3.878 4.990
Mo 7.075 -1.500 4.152
O 3.974 5.092 1.793
O 0.542 1.168 2.004
O 2.974 2.458 1.172
O 2.164 2.360 4.082
O -0.982 -1.168 5.331
O 6.830 5.092 1.534
O 5.542 2.752 0.164
O 1.554 0.085 6.029
O 5.262 2.752 3.163
O 3.079 -0.085 2.702
O 1.450 -2.458 4.498
O 3.688 -2.360 0.755
O 5.591 2.360 5.898
O 7.829 2.458 2.155
O 6.201 0.085 3.951
O 4.018 -2.752 3.491
O 7.725 -0.085 0.624
O 3.737 -2.752 6.489
O 2.449 -5.092 5.120
O 10.261 1.168 1.322
O 7.115 -2.360 2.572
O 6.305 -2.458 5.482
O 8.737 -1.168 4.649
O 5.305 -5.092 4.860
```

Properties
SG = No. 15
E = -6.011 eV per atom

# 5
NaZr2MoO8 | PBE+U | relaxed Values from VASP.

Cell and atoms, written as Quantum ESPRESSO input:
```
&SYSTEM
  ibrav = 0, nat = 12, ntyp = 4
/
ATOMIC_SPECIES
Na 22.99 Na.upf
Zr 91.22 Zr.upf
Mo 95.94 Mo.upf
O 16.00 O.upf
CELL_PARAMETERS angstrom
3.424 -3.491 0.000
3.424 3.491 0.000
0.000 0.000 6.668
ATOMIC_POSITIONS angstrom
Na 0.000 0.000 0.000
Zr 3.424 0.000 1.570
Zr 3.424 0.000 5.098
Mo 0.000 0.000 3.334
O 1.355 0.000 1.977
O 1.355 0.000 4.691
O 3.424 1.488 3.334
O 3.424 1.280 0.000
O 3.424 -1.280 0.000
O 3.424 -1.488 3.334
O 5.492 0.000 1.977
O 5.492 0.000 4.691
```

Properties
Fermi-level density of states = 6.9 states/eV/f.u.
SG = No. 65
E = -7.711 eV per atom

# 6
Na2ZrMoO | PBE+U | relaxed Values from VASP.

Cell and atoms, written as Quantum ESPRESSO input:
```
&SYSTEM
  ibrav = 0, nat = 5, ntyp = 4
/
ATOMIC_SPECIES
Na 22.99 Na.upf
Zr 91.22 Zr.upf
Mo 95.94 Mo.upf
O 16.00 O.upf
CELL_PARAMETERS angstrom
4.994 0.000 0.000
0.000 4.994 0.000
0.000 0.000 4.229
ATOMIC_POSITIONS angstrom
Na 0.000 2.497 0.000
Na 2.497 0.000 0.000
Zr 0.000 0.000 2.114
Mo 2.497 2.497 2.114
O 0.000 0.000 0.000
```

Properties
Fermi-level density of states = 2.4 states/eV/f.u.
SG = No. 123
E = -4.879 eV per atom

# 7
NaZrMoO6 | PBE+U | relaxed Values from VASP.

Cell and atoms, written as Quantum ESPRESSO input:
```
&SYSTEM
  ibrav = 0, nat = 18, ntyp = 4
/
ATOMIC_SPECIES
Na 22.99 Na.upf
Zr 91.22 Zr.upf
Mo 95.94 Mo.upf
O 16.00 O.upf
CELL_PARAMETERS angstrom
4.996 0.000 0.000
0.000 4.996 0.000
0.000 0.000 9.742
ATOMIC_POSITIONS angstrom
Na 0.000 0.000 0.000
Na 2.498 2.498 4.871
Zr 0.000 0.000 6.446
Zr 2.498 2.498 1.575
Mo 0.000 0.000 3.278
Mo 2.498 2.498 8.149
O 0.883 0.883 4.722
O 1.040 1.040 1.941
O 1.155 1.155 7.820
O 1.343 3.653 2.949
O 1.458 3.538 6.812
O 1.615 3.381 9.593
O 3.381 1.615 9.593
O 3.538 1.458 6.812
O 3.653 1.343 2.949
O 3.841 3.841 7.820
O 3.956 3.956 1.941
O 4.113 4.113 4.722
```

Properties
Fermi-level density of states = 3.3 states/eV/f.u.
SG = No. 102
E = -7.179 eV per atom

# 8
Na2ZrMo2O6 | PBE+U | relaxed Values from VASP.

Cell and atoms, written as Quantum ESPRESSO input:
```
&SYSTEM
  ibrav = 0, nat = 11, ntyp = 4
/
ATOMIC_SPECIES
Na 22.99 Na.upf
Zr 91.22 Zr.upf
Mo 95.94 Mo.upf
O 16.00 O.upf
CELL_PARAMETERS angstrom
2.785 -4.510 0.000
2.785 4.510 0.000
-1.684 0.000 5.734
ATOMIC_POSITIONS angstrom
Na 2.785 2.881 0.000
Na 2.785 -2.881 0.000
Zr -0.842 0.000 2.867
Mo 1.943 1.248 2.867
Mo 1.943 -1.248 2.867
O 0.090 1.592 3.957
O 0.845 0.000 1.524
O 0.090 -1.592 3.957
O 3.796 1.592 1.777
O 3.041 0.000 4.209
O 3.796 -1.592 1.777
```

Properties
SG = No. 12
E = -6.949 eV per atom